1.
Here is a relaxed Sr2MgScAu6 crystal from the Alexandria database. Energies are from GGA-PBE.

a = 7.0104 Å, b = 7.0143 Å, c = 7.0152 Å
α = 60.99°, β = 61.22°, γ = 61.15°
Last column: nearest neighbours and their distance in Å.
Positions (direct):
Sr: 0.2026 0.2038 0.2036  6 Au 3.23-3.49, 1 Mg 3.46
Sr: 0.7974 0.7962 0.7964  6 Au 3.23-3.49, 1 Mg 3.46
Mg: 0.0000 0.0000 0.0000  6 Au 2.67-2.68
Sc: 0.5000 0.5000 0.5000  6 Au 2.73
Au: 0.1484 0.3419 0.6454  1 Mg 2.67, 1 Sc 2.73, 2 Au 2.94-2.99
Au: 0.3432 0.6453 0.1471  1 Mg 2.68, 1 Sc 2.73, 2 Au 2.94-2.99
Au: 0.3536 0.8521 0.6573  1 Mg 2.68, 1 Sc 2.73, 3 Au 2.95-2.99
Au: 0.6464 0.1479 0.3427  1 Mg 2.68, 1 Sc 2.73, 3 Au 2.95-2.99
Au: 0.6568 0.3547 0.8529  1 Mg 2.68, 1 Sc 2.73, 2 Au 2.94-2.99
Au: 0.8516 0.6581 0.3546  1 Mg 2.67, 1 Sc 2.73, 2 Au 2.94-2.99

**Formation energy**: -548 meV/atom
**DFT total energy**: -0.1339 Ha/atom
**Total magnetic moment**: 0.00 μB per formula unit


2.
Here is a relaxed SrMgSc2Au4 crystal from the Alexandria database. Energies are from GGA-PBE.

a = 9.5403 Å, b = 9.5403 Å, c = 9.5403 Å
α = 28.81°, β = 28.81°, γ = 28.81°
Last column: nearest neighbours and their distance in Å.
Positions (direct):
Sr: 0.0000 0.0000 0.0000  8 Au 3.30-3.53
Mg: 0.5000 0.5000 0.5000  8 Au 2.73-2.93
Sc: 0.2351 0.2351 0.2351  7 Au 2.87-2.91
Sc: 0.7649 0.7649 0.7649  7 Au 2.87-2.91
Au: 0.1289 0.1289 0.1289  4 Sc 2.87-2.91, 3 Mg 2.93
Au: 0.4006 0.4006 0.4006  1 Mg 2.73, 3 Sc 2.87
Au: 0.5994 0.5994 0.5994  1 Mg 2.73, 3 Sc 2.87
Au: 0.8711 0.8711 0.8711  4 Sc 2.87-2.91, 3 Mg 2.93

**Formation energy**: -699 meV/atom
**DFT total energy**: -0.1591 Ha/atom
**Total magnetic moment**: 0.00 μB per formula unit


3.
Here is a relaxed TbMg2ScAu4 crystal from the Alexandria database. Energies are from GGA-PBE.

a = 8.4405 Å, b = 8.4405 Å, c = 8.4405 Å
α = 33.08°, β = 33.08°, γ = 33.08°
Last column: nearest neighbours and their distance in Å.
Positions (direct):
Tb: 0.0000 0.0000 0.0000  8 Au 3.01-3.07
Mg: 0.2478 0.2478 0.2478  7 Au 2.85-2.96
Mg: 0.7522 0.7522 0.7522  7 Au 2.85-2.96
Sc: 0.5000 0.5000 0.5000  8 Au 2.83-2.92
Au: 0.1285 0.1285 0.1285  4 Mg 2.85-2.96, 3 Sc 2.92, 1 Tb 3.07
Au: 0.3816 0.3816 0.3816  1 Sc 2.83, 3 Mg 2.91, 3 Tb 3.01
Au: 0.6184 0.6184 0.6184  1 Sc 2.83, 3 Mg 2.91, 3 Tb 3.01
Au: 0.8715 0.8715 0.8715  4 Mg 2.85-2.96, 3 Sc 2.92, 1 Tb 3.07

**Formation energy**: -763 meV/atom
**DFT total energy**: -0.1533 Ha/atom
**Total magnetic moment**: 0.00 μB per formula unit


4.
Here is a relaxed TbMgSc2Au4 crystal from the Alexandria database. Energies are from GGA-PBE.

a = 8.6229 Å, b = 8.6229 Å, c = 8.6229 Å
α = 32.33°, β = 32.33°, γ = 32.33°
Last column: nearest neighbours and their distance in Å.
Positions (direct):
Tb: 0.0000 0.0000 0.0000  8 Au 3.05
Mg: 0.5000 0.5000 0.5000  8 Au 2.81-2.96
Sc: 0.2441 0.2441 0.2441  7 Au 2.90-2.93
Sc: 0.7559 0.7559 0.7559  7 Au 2.90-2.93
Au: 0.1247 0.1247 0.1247  4 Sc 2.90-2.93, 3 Mg 2.96, 1 Tb 3.05
Au: 0.3853 0.3853 0.3853  1 Mg 2.81, 3 Sc 2.92, 3 Tb 3.05
Au: 0.6147 0.6147 0.6147  1 Mg 2.81, 3 Sc 2.92, 3 Tb 3.05
Au: 0.8753 0.8753 0.8753  4 Sc 2.90-2.93, 3 Mg 2.96, 1 Tb 3.05

**Formation energy**: -766 meV/atom
**DFT total energy**: -0.1751 Ha/atom
**Total magnetic moment**: 0.00 μB per formula unit


5.
Here is a relaxed TbMgScAu crystal from the Alexandria database. Energies are from GGA-PBE.

a = 5.0645 Å, b = 5.0645 Å, c = 5.0645 Å
α = 60.00°, β = 60.00°, γ = 60.00°
Last column: nearest neighbours and their distance in Å.
Positions (direct):
Tb: 0.0000 0.0000 0.0000  4 Mg 3.10, 4 Au 3.10
Mg: 0.7500 0.7500 0.7500  4 Sc 3.10, 4 Tb 3.10
Sc: 0.5000 0.5000 0.5000  4 Mg 3.10, 4 Au 3.10
Au: 0.2500 0.2500 0.2500  4 Sc 3.10, 4 Tb 3.10

**Formation energy**: -389 meV/atom
**DFT total energy**: -0.1597 Ha/atom
**Total magnetic moment**: 0.00 μB per formula unit


6.
Here is a relaxed ThMg2ScAu4 crystal from the Alexandria database. Energies are from GGA-PBE.

a = 8.9049 Å, b = 8.9049 Å, c = 8.9049 Å
α = 31.03°, β = 31.03°, γ = 31.03°
Last column: nearest neighbours and their distance in Å.
Positions (direct):
Th: 0.0000 0.0000 0.0000  8 Au 3.09-3.22
Mg: 0.2420 0.2420 0.2420  7 Au 2.89-2.93
Mg: 0.7580 0.7580 0.7580  7 Au 2.89-2.93
Sc: 0.5000 0.5000 0.5000  8 Au 2.82-2.93
Au: 0.1268 0.1268 0.1268  4 Mg 2.89-2.93, 3 Sc 2.93, 1 Th 3.22
Au: 0.3889 0.3889 0.3889  1 Sc 2.82, 3 Mg 2.90, 3 Th 3.09
Au: 0.6111 0.6111 0.6111  1 Sc 2.82, 3 Mg 2.90, 3 Th 3.09
Au: 0.8732 0.8732 0.8732  4 Mg 2.89-2.93, 3 Sc 2.93, 1 Th 3.22

**Formation energy**: -705 meV/atom
**DFT total energy**: -0.1639 Ha/atom
**Total magnetic moment**: 0.00 μB per formula unit


7.
Here is a relaxed ThMgSc2Au4 crystal from the Alexandria database. Energies are from GGA-PBE.

a = 9.0796 Å, b = 9.0796 Å, c = 9.0796 Å
α = 30.41°, β = 30.41°, γ = 30.41°
Last column: nearest neighbours and their distance in Å.
Positions (direct):
Th: 0.0000 0.0000 0.0000  8 Au 3.14-3.23
Mg: 0.5000 0.5000 0.5000  8 Au 2.80-2.96
Sc: 0.2395 0.2395 0.2395  7 Au 2.86-2.98
Sc: 0.7605 0.7605 0.7605  7 Au 2.86-2.98
Au: 0.1246 0.1246 0.1246  4 Sc 2.86-2.98, 3 Mg 2.96
Au: 0.3920 0.3920 0.3920  1 Mg 2.80, 3 Sc 2.90
Au: 0.6080 0.6080 0.6080  1 Mg 2.80, 3 Sc 2.90
Au: 0.8754 0.8754 0.8754  4 Sc 2.86-2.98, 3 Mg 2.96

**Formation energy**: -699 meV/atom
**DFT total energy**: -0.1855 Ha/atom
**Total magnetic moment**: 0.00 μB per formula unit


8.
Here is a relaxed TmMgSc2Au4 crystal from the Alexandria database. Energies are from GGA-PBE.

a = 8.4022 Å, b = 8.4022 Å, c = 8.4022 Å
α = 33.41°, β = 33.41°, γ = 33.41°
Last column: nearest neighbours and their distance in Å.
Positions (direct):
Tm: 0.0000 0.0000 0.0000  8 Au 2.95-2.98
Mg: 0.5000 0.5000 0.5000  8 Au 2.92-2.97
Sc: 0.2460 0.2460 0.2460  8 Au 2.89-3.12
Sc: 0.7540 0.7540 0.7540  8 Au 2.89-3.12
Au: 0.1243 0.1243 0.1243  4 Sc 2.89-2.92, 1 Tm 2.95, 3 Mg 2.97
Au: 0.3770 0.3770 0.3770  1 Mg 2.92, 3 Tm 2.98, 4 Sc 2.98-3.12
Au: 0.6230 0.6230 0.6230  1 Mg 2.92, 3 Tm 2.98, 4 Sc 2.98-3.12
Au: 0.8757 0.8757 0.8757  4 Sc 2.89-2.92, 1 Tm 2.95, 3 Mg 2.97

**Formation energy**: -786 meV/atom
**DFT total energy**: -0.1751 Ha/atom
**Total magnetic moment**: 0.00 μB per formula unit


9.
Here is a relaxed MgScWAu2 crystal from the Alexandria database. Energies are from GGA-PBE.

a = 4.6704 Å, b = 4.6704 Å, c = 4.8723 Å
α = 90.00°, β = 90.00°, γ = 90.00°
Last column: nearest neighbours and their distance in Å.
Positions (direct):
Mg: 0.0000 0.0000 0.0000  4 Au 2.34, 2 W 2.44
Sc: 0.5000 0.5000 0.5000  4 W 3.30, 8 Au 3.37
W: 0.0000 0.0000 0.5000  2 Mg 2.44
Au: 0.0000 0.5000 0.0000  2 Mg 2.34
Au: 0.5000 0.0000 0.0000  2 Mg 2.34

**Formation energy**: 936 meV/atom
**DFT total energy**: -0.1673 Ha/atom
**Total magnetic moment**: 0.65 μB per formula unit


10.
Here is a relaxed YMg2ScAu crystal from the Alexandria database. Energies are from GGA-PBE.

a = 5.6093 Å, b = 5.6093 Å, c = 5.2351 Å
α = 90.00°, β = 90.00°, γ = 90.00°
Last column: nearest neighbours and their distance in Å.
Positions (direct):
Y: 0.0000 0.0000 0.0000  2 Sc 2.62, 4 Mg 2.80
Mg: 0.0000 0.5000 0.0000  2 Y 2.80
Mg: 0.5000 0.0000 0.0000  2 Y 2.80
Sc: 0.0000 0.0000 0.5000  2 Y 2.62
Au: 0.5000 0.5000 0.5000  8 Mg 3.84, 4 Sc 3.97

**Formation energy**: 1179 meV/atom
**DFT total energy**: -0.0982 Ha/atom
**Total magnetic moment**: 0.00 μB per formula unit


11.
Here is a relaxed Mg2ScZnAu crystal from the Alexandria database. Energies are from GGA-PBE.

a = 4.8226 Å, b = 4.8226 Å, c = 5.0476 Å
α = 90.00°, β = 90.00°, γ = 90.00°
Last column: nearest neighbours and their distance in Å.
Positions (direct):
Mg: 0.0000 0.5000 0.0000  2 Zn 2.41
Mg: 0.5000 0.0000 0.0000  2 Zn 2.41
Sc: 0.0000 0.0000 0.5000  2 Zn 2.52
Zn: 0.0000 0.0000 0.0000  4 Mg 2.41, 2 Sc 2.52
Au: 0.5000 0.5000 0.5000  4 Sc 3.41, 8 Mg 3.49

**Formation energy**: 148 meV/atom
**DFT total energy**: -0.0980 Ha/atom
**Total magnetic moment**: 0.00 μB per formula unit


12.
Here is a relaxed Mg2ScZnAu4 crystal from the Alexandria database. Energies are from GGA-PBE.

a = 8.1462 Å, b = 8.1462 Å, c = 8.1462 Å
α = 33.23°, β = 33.23°, γ = 33.23°
Last column: nearest neighbours and their distance in Å.
Positions (direct):
Mg: 0.2475 0.2475 0.2475  8 Au 2.83-3.01
Mg: 0.7525 0.7525 0.7525  8 Au 2.83-3.01
Sc: 0.0000 0.0000 0.0000  8 Au 2.87-2.88
Zn: 0.5000 0.5000 0.5000  8 Au 2.82-2.86
Au: 0.1245 0.1245 0.1245  4 Mg 2.83-2.84, 3 Zn 2.86, 1 Sc 2.87
Au: 0.3780 0.3780 0.3780  1 Zn 2.82, 4 Mg 2.85-3.01, 3 Sc 2.88
Au: 0.6220 0.6220 0.6220  1 Zn 2.82, 4 Mg 2.85-3.01, 3 Sc 2.88
Au: 0.8755 0.8755 0.8755  4 Mg 2.83-2.84, 3 Zn 2.86, 1 Sc 2.87

**Formation energy**: -563 meV/atom
**DFT total energy**: -0.1305 Ha/atom
**Total magnetic moment**: 0.00 μB per formula unit